# PrDyIr

An optimized crystal structure of PrDyIr (PBE, the Alexandria database).

Results
- V (Å³ per cell) = 166.6
- offset from the most stable computed form (meV/atom) = 14
- DFT formation energy (kJ per mole of atoms) = -56.1
- ρ (g/cm³) = 9.88
- symmetry = P-1, No. 2

a b c (Å): 4.891 4.923 6.920
angles (deg): 90.81 90.37 89.99
Fractional positions:
Pr 0.496 0.010 0.750
Pr 0.504 0.990 0.250
Ir 0.000 0.000 0.000
Ir 0.500 0.500 0.500
Dy 0.004 0.491 0.250
Dy 0.996 0.509 0.750

# ErAlZn3Au

An optimized crystal structure of ErAlZn3Au (PBE, the Alexandria database).

Results
- V (Å³ per cell) = 227.6
- DFT formation energy (kJ per mole of atoms) = -17.2
- ρ (g/cm³) = 8.57
- symmetry = Cmcm, No. 63

a b c (Å): 5.772 6.154 7.108
angles (deg): 115.65 90.00 90.00
Fractional positions:
Zn 0.500 0.302 0.000
Zn 0.500 0.698 0.000
Zn 0.000 0.698 0.000
Zn 0.250 0.129 0.258
Zn 0.000 0.302 0.000
Zn 0.750 0.871 0.742
Er 0.250 0.699 0.398
Er 0.750 0.301 0.602
Al 0.750 0.078 0.157
Al 0.250 0.922 0.843
Au 0.750 0.664 0.328
Au 0.250 0.336 0.672

# InAgCl2

An optimized crystal structure of InAgCl2 (PBE, the Alexandria database).

Results
- V (Å³ per cell) = 116.7
- ρ (g/cm³) = 4.18
- DFT total energy (eV per atom) = -2.889
- symmetry = P4mm, No. 99

a b c (Å): 3.828 3.828 7.964
angles (deg): 90.00 90.00 89.99
Fractional positions:
In 0.000 0.000 0.444
Cl 0.500 0.500 0.266
Cl 0.000 0.000 0.860
Ag 0.500 0.500 0.930

# Cr2FeHg

An optimized crystal structure of Cr2FeHg (PBE, the Alexandria database).

Results
- V (Å³ per cell) = 58.7
- DFT formation energy (kJ per mole of atoms) = 45.1
- ρ (g/cm³) = 10.20
- symmetry = Pmmm, No. 47

a b c (Å): 3.785 3.868 4.007
angles (deg): 90.00 90.00 90.00
Site moments in Bohr magnetons follow the coordinates.
Fractional positions:
Hg 0.000 0.500 0.500  -0.02
Cr 0.000 0.000 0.000  -2.82
Cr 0.500 0.500 0.000  2.61
Fe 0.500 0.000 0.500  2.19

# DyH6Pd3

An optimized crystal structure of DyH6Pd3 (PBE, the Alexandria database).

Results
- V (Å³ per cell) = 93.4
- ρ (g/cm³) = 8.67
- DFT total energy (eV per atom) = -4.350
- symmetry = R3, No. 146

a b c (Å): 4.922 4.922 5.283
angles (deg): 90.00 117.77 120.00
Fractional positions:
H 0.168 0.734 0.235
H 0.801 0.067 0.235
H 0.304 0.912 0.740
H 0.501 0.434 0.235
H 0.348 0.436 0.740
H 0.829 0.393 0.740
Dy 0.790 0.895 0.686
Pd 0.246 0.123 0.369
Pd 0.681 0.341 0.022
Pd 0.332 0.666 0.997

# Er2MnPd

An optimized crystal structure of Er2MnPd (PBE, the Alexandria database).

Results
- V (Å³ per cell) = 83.2
- offset from the most stable computed form (meV/atom) = 0
- DFT formation energy (kJ per mole of atoms) = -36.2
- ρ (g/cm³) = 9.89
- symmetry = P4/mmm, No. 123

a b c (Å): 3.463 3.463 6.943
angles (deg): 90.00 90.00 90.00
Site moments in Bohr magnetons follow the coordinates.
Fractional positions:
Er 0.000 0.000 0.750  -0.25
Er 0.000 0.000 0.250  -0.25
Pd 0.500 0.500 0.500  -0.01
Mn 0.500 0.500 0.000  3.02

# BaNaCo2Br8

An optimized crystal structure of BaNaCo2Br8 (PBE, the Alexandria database).

Results
- V (Å³ per cell) = 382.9
- ρ (g/cm³) = 3.98
- DFT total energy (eV per atom) = -3.497
- symmetry = R-3, No. 148

a b c (Å): 6.813 6.813 10.305
angles (deg): 70.70 70.70 60.00
Site moments in Bohr magnetons follow the coordinates.
Fractional positions:
Br 0.164 0.164 0.508  0.17
Br 0.582 0.304 0.194  0.16
Br 0.418 0.696 0.806  0.16
Br 0.920 0.582 0.194  0.16
Br 0.304 0.920 0.194  0.16
Br 0.080 0.418 0.806  0.16
Br 0.836 0.836 0.492  0.17
Br 0.696 0.080 0.806  0.16
Ba 0.500 0.500 0.500  0.00
Co 0.247 0.247 0.260  2.49
Co 0.753 0.753 0.740  2.49
Na 0.000 0.000 0.000  0.00

# ZnCo2Cl

An optimized crystal structure of ZnCo2Cl (PBE, the Alexandria database).

Results
- V (Å³ per cell) = 56.1
- offset from the most stable computed form (meV/atom) = 482
- ρ (g/cm³) = 6.47
- symmetry = I-4m2, No. 119

a b c (Å): 5.205 5.205 5.205
angles (deg): 140.68 140.68 56.82
Site moments in Bohr magnetons follow the coordinates.
Fractional positions:
Zn 0.500 0.500 0.000  -0.06
Co 0.250 0.750 0.500  1.68
Co 0.000 0.000 0.000  1.54
Cl 0.750 0.250 0.500  0.08